(1)
Ce7AsI12 | PBE | relaxed

Calculated values
Uncorrected formation energy = -1263 meV per atom
Calculated volume = 40.28 A^3/atom

Cell: 9.971 9.971 9.971 Å, 107.85 107.85 107.85°
Last column: magnetic moment on the atom in μB.
Atoms (fractional coordinates):
Ce (0.962, 0.680, 0.890)  1.06
Ce (0.320, 0.110, 0.038)  1.06
Ce (0.110, 0.038, 0.320)  1.06
Ce (0.500, 0.500, 0.500)  1.23
Ce (0.890, 0.962, 0.680)  1.06
Ce (0.680, 0.890, 0.962)  1.06
Ce (0.038, 0.320, 0.110)  1.06
As (0.000, 0.000, 0.000)  -0.03
I (0.922, 0.312, 0.769)  -0.01
I (0.688, 0.231, 0.078)  -0.01
I (0.473, 0.151, 0.391)  -0.01
I (0.849, 0.609, 0.527)  -0.01
I (0.231, 0.078, 0.688)  -0.01
I (0.609, 0.527, 0.849)  -0.01
I (0.391, 0.473, 0.151)  -0.01
I (0.769, 0.922, 0.312)  -0.01
I (0.151, 0.391, 0.473)  -0.01
I (0.527, 0.849, 0.609)  -0.01
I (0.312, 0.769, 0.922)  -0.01
I (0.078, 0.688, 0.231)  -0.01

=====

(2)
Ce6As5I | PBE | relaxed

Calculated values
Uncorrected formation energy = -1346 meV per atom
Calculated volume = 27.58 A^3/atom

Cell: 7.405 7.405 7.392 Å, 99.64 99.64 119.95°
Last column: magnetic moment on the atom in μB.
Atoms (fractional coordinates):
I (0.000, 0.000, 0.000)  -0.01
As (0.840, 0.160, 0.500)  -0.03
As (0.667, 0.333, 0.000)  -0.03
As (0.500, 0.500, 0.500)  -0.03
As (0.333, 0.667, 0.000)  -0.03
As (0.160, 0.840, 0.500)  -0.03
Ce (0.438, 0.087, 0.261)  0.79
Ce (0.913, 0.562, 0.739)  0.79
Ce (0.264, 0.264, 0.742)  0.75
Ce (0.736, 0.736, 0.258)  0.75
Ce (0.087, 0.438, 0.261)  0.79
Ce (0.562, 0.913, 0.739)  0.79

=====

(3)
Ce3As2I2 | PBE | relaxed

Calculated values
Uncorrected formation energy = -1227 meV per atom
Calculated volume = 33.59 A^3/atom

Cell: 4.231 7.452 7.857 Å, 97.84 90.01 106.50°
Last column: magnetic moment on the atom in μB.
Atoms (fractional coordinates):
Ce (0.000, 0.000, 0.000)  0.89
Ce (0.757, 0.514, 0.221)  0.98
Ce (0.243, 0.486, 0.779)  0.98
As (0.626, 0.251, 0.896)  -0.03
As (0.374, 0.749, 0.104)  -0.03
I (0.881, 0.763, 0.613)  -0.01
I (0.119, 0.237, 0.387)  -0.01